i.
Tl2CoS2 after structural relaxation. Source: Alexandria via LeMat-Bulk, functional PBE-GGA.

Unit cell a=5.946 b=5.946 c=6.037 alpha=90.00 beta=90.00 gamma=90.00
Sites, in units of the cell vectors:
Tl (0.198, 0.302, 0.000)
Tl (0.302, 0.802, 0.000)
Tl (0.698, 0.198, 0.000)
Tl (0.802, 0.698, 0.000)
Co (0.000, 0.000, 0.500)
Co (0.500, 0.500, 0.500)
S (0.137, 0.637, 0.500)
S (0.363, 0.137, 0.500)
S (0.637, 0.863, 0.500)
S (0.863, 0.363, 0.500)

Results
symmetry = P4/mbm (127)
M_tot = 1.41 μB per formula unit
D(E_F) = 5.7 states/eV/cell



ii.
Tl2CoS2 after structural relaxation. Source: Alexandria via LeMat-Bulk, functional PBE-GGA.

Unit cell a=6.931 b=6.931 c=6.931 alpha=128.26 beta=128.26 gamma=76.20
Sites, in units of the cell vectors:
Tl (0.250, 0.750, 0.500)
Tl (0.750, 0.250, 0.500)
Co (0.000, 0.000, 0.000)
S (0.192, 0.192, 0.000)
S (0.808, 0.808, 0.000)

Results
symmetry = I4/mmm (139)
M_tot = 2.53 μB per formula unit
D(E_F) = 3.4 states/eV/cell



Which of them is the most stable, and which is the least stable? i and ii, in that order.



i.
Tl2CoS after structural relaxation. Source: Alexandria via LeMat-Bulk, functional PBE-GGA.

Unit cell a=7.427 b=7.427 c=7.427 alpha=129.81 beta=129.81 gamma=73.71
Sites, in units of the cell vectors:
Tl (0.103, 0.625, 0.978)
Tl (0.375, 0.353, 0.478)
Tl (0.647, 0.125, 0.022)
Tl (0.875, 0.897, 0.522)
Co (0.000, 0.000, 0.000)
Co (0.750, 0.250, 0.500)
S (0.250, 0.750, 0.500)
S (0.500, 0.500, 0.000)

Results
symmetry = I-42d (122)
M_tot = 1.35 μB per formula unit
D(E_F) = 5.4 states/eV/cell



ii.
Tl2CoS after structural relaxation. Source: Alexandria via LeMat-Bulk, functional PBE-GGA.

Unit cell a=5.100 b=5.100 c=5.100 alpha=60.00 beta=60.00 gamma=60.00
Sites, in units of the cell vectors:
Tl (0.250, 0.250, 0.250)
Tl (0.750, 0.750, 0.750)
Co (0.000, 0.000, 0.000)
S (0.500, 0.500, 0.500)

Results
symmetry = Fm-3m (225)
M_tot = 2.57 μB per formula unit
D(E_F) = 4.6 states/eV/cell



Which of them is the most stable, and which is the least stable? i and ii, in that order.



i.
TlCo2S after structural relaxation. Source: Alexandria via LeMat-Bulk, functional PBE-GGA.

Unit cell a=7.763 b=7.763 c=7.763 alpha=145.57 beta=145.57 gamma=49.48
Sites, in units of the cell vectors:
Tl (0.000, 0.000, 0.000)
Tl (0.750, 0.250, 0.500)
Co (0.295, 0.625, 0.170)
Co (0.375, 0.545, 0.670)
Co (0.455, 0.125, 0.830)
Co (0.875, 0.705, 0.330)
S (0.250, 0.750, 0.500)
S (0.500, 0.500, 0.000)

Results
symmetry = I-42d (122)
M_tot = 1.97 μB per formula unit
D(E_F) = 10.2 states/eV/cell



ii.
TlCo2S after structural relaxation. Source: Alexandria via LeMat-Bulk, functional PBE-GGA.

Unit cell a=4.404 b=4.404 c=4.404 alpha=60.00 beta=60.00 gamma=60.00
Sites, in units of the cell vectors:
Tl (0.000, 0.000, 0.000)
Co (0.250, 0.250, 0.250)
Co (0.750, 0.750, 0.750)
S (0.500, 0.500, 0.500)

Results
symmetry = Fm-3m (225)
M_tot = 2.81 μB per formula unit
D(E_F) = 3.2 states/eV/cell



Which of them is the most stable, and which is the least stable? i and ii, in that order.



i.
CoW3S after structural relaxation. Source: Alexandria via LeMat-Bulk, functional PBE-GGA.

Unit cell a=4.367 b=4.367 c=4.367 alpha=90.00 beta=90.00 gamma=90.00
Sites, in units of the cell vectors:
Co (0.000, 0.000, 0.000)
W (0.000, 0.500, 0.500)
W (0.500, 0.000, 0.500)
W (0.500, 0.500, 0.000)
S (0.500, 0.500, 0.500)

Results
symmetry = Pm-3m (221)
M_tot = 0.00 μB per formula unit
D(E_F) = 9.0 states/eV/cell



ii.
CoW3S after structural relaxation. Source: Alexandria via LeMat-Bulk, functional PBE-GGA.

Unit cell a=4.480 b=4.480 c=4.480 alpha=90.00 beta=90.00 gamma=90.00
Sites, in units of the cell vectors:
Co (0.000, 0.000, 0.000)
W (0.000, 0.000, 0.500)
W (0.000, 0.500, 0.000)
W (0.500, 0.000, 0.000)
S (0.500, 0.500, 0.500)

Results
symmetry = Pm-3m (221)
M_tot = 0.00 μB per formula unit
D(E_F) = 3.6 states/eV/cell



Which of them is the most stable, and which is the least stable? i and ii, in that order.